! NaFeAgTeS2, optimized geometry, DFT PBE; values from VASP
&SYSTEM
  ibrav = 0, nat = 12, ntyp = 5
/
ATOMIC_SPECIES
Na 22.99 Na.upf
Fe 55.84 Fe.upf
Ag 107.87 Ag.upf
Te 127.60 Te.upf
S 32.06 S.upf
ATOMIC_POSITIONS crystal
Na 0.234 0.766 0.750
Na 0.766 0.234 0.250
Fe 0.000 0.000 0.000
Fe 0.000 0.000 0.500
Ag 0.430 0.570 0.250
Ag 0.570 0.430 0.750
Te 0.089 0.911 0.250
Te 0.911 0.089 0.750
S 0.395 0.605 0.027
S 0.395 0.605 0.473
S 0.605 0.395 0.527
S 0.605 0.395 0.973
CELL_PARAMETERS angstrom
1.688 -7.454 0.000
1.688 7.454 0.000
0.000 0.000 10.598
! - space-group type = No. 63
! - M_tot (μB per atom) = 0.369
! - electronic total energy (Ry/atom) = -0.310